1.
Material: Th2TcAg
Method: DFT, PBE-GGA
State: relaxed

a b c (Å): 3.495 3.495 8.073
angles (deg): 90.00 90.00 90.00
Atoms (fractional coordinates):
Th 0.000 0.000 0.222
Th 0.000 0.000 0.778
Tc 0.500 0.500 0.000
Ag 0.500 0.500 0.500

Computed properties:
- symmetry = P4/mmm, No. 123
- crystal system = tetragonal
- formation enthalpy at 0 K (eV per formula unit) = -0.50

=====

2.
Material: Th6Tc2Ag
Method: DFT, PBE-GGA
State: relaxed

a b c (Å): 8.666 8.666 8.666
angles (deg): 114.55 112.09 102.03
Atoms (fractional coordinates):
Th 0.036 0.236 0.801
Th 0.181 0.295 0.476
Th 0.181 0.705 0.886
Th 0.333 0.029 0.696
Th 0.333 0.638 0.304
Th 0.435 0.236 0.199
Th 0.565 0.764 0.801
Th 0.667 0.362 0.696
Th 0.667 0.971 0.304
Th 0.819 0.295 0.114
Th 0.819 0.705 0.524
Th 0.964 0.764 0.199
Tc 0.139 0.639 0.500
Tc 0.327 0.000 0.327
Tc 0.673 0.000 0.673
Tc 0.861 0.361 0.500
Ag 0.000 0.000 0.000
Ag 0.500 0.500 0.000

Computed properties:
- symmetry = Immm, No. 71
- crystal system = orthorhombic
- formation enthalpy at 0 K (eV per formula unit) = -0.85

=====

3.
Material: Th3Tc2Ag
Method: DFT, PBE-GGA
State: relaxed

a b c (Å): 3.525 3.525 11.624
angles (deg): 90.00 90.00 90.00
Atoms (fractional coordinates):
Th 0.000 0.000 0.000
Th 0.000 0.000 0.309
Th 0.000 0.000 0.691
Tc 0.500 0.500 0.163
Tc 0.500 0.500 0.837
Ag 0.500 0.500 0.500

Computed properties:
- symmetry = P4/mmm, No. 123
- crystal system = tetragonal
- formation enthalpy at 0 K (eV per formula unit) = -0.63

=====

4.
Material: Th7Tc2Ag2
Method: DFT, PBE-GGA
State: relaxed

a b c (Å): 9.535 9.535 9.535
angles (deg): 156.66 68.96 116.15
Atoms (fractional coordinates):
Th 0.000 0.000 0.000
Th 0.293 0.426 0.867
Th 0.317 0.637 0.680
Th 0.560 0.426 0.133
Th 0.620 0.269 0.351
Th 0.918 0.269 0.649
Th 0.957 0.637 0.320
Tc 0.179 0.948 0.231
Tc 0.717 0.948 0.769
Ag 0.274 0.774 0.500
Ag 0.671 0.671 0.000

Computed properties:
- symmetry = Imm2, No. 44
- crystal system = orthorhombic
- formation enthalpy at 0 K (eV per formula unit) = -0.88

=====

5.
Material: ThZrTcAg
Method: DFT, PBE-GGA
State: relaxed

a b c (Å): 4.972 4.972 4.972
angles (deg): 60.00 60.00 60.00
Atoms (fractional coordinates):
Th 0.000 0.000 0.000
Zr 0.500 0.500 0.500
Tc 0.750 0.750 0.750
Ag 0.250 0.250 0.250

Computed properties:
- symmetry = F-43m, No. 216
- crystal system = cubic
- formation enthalpy at 0 K (eV per formula unit) = -0.13

=====

6.
Material: TiTc3Ag
Method: DFT, PBE-GGA
State: relaxed

a b c (Å): 4.711 4.711 4.711
angles (deg): 90.00 90.00 90.00
Atoms (fractional coordinates):
Ti 0.000 0.000 0.000
Tc 0.000 0.500 0.500
Tc 0.500 0.000 0.500
Tc 0.500 0.500 0.000
Ag 0.500 0.500 0.500

Computed properties:
- symmetry = Pm-3m, No. 221
- crystal system = cubic
- formation enthalpy at 0 K (eV per formula unit) = 11.83

=====

7.
Material: TiTc3Ag
Method: DFT, PBE-GGA
State: relaxed

a b c (Å): 4.518 4.518 4.518
angles (deg): 90.00 90.00 90.00
Atoms (fractional coordinates):
Ti 0.000 0.000 0.000
Tc 0.000 0.000 0.500
Tc 0.000 0.500 0.000
Tc 0.500 0.000 0.000
Ag 0.500 0.500 0.500

Computed properties:
- symmetry = Pm-3m, No. 221
- crystal system = cubic
- formation enthalpy at 0 K (eV per formula unit) = 6.96

=====

8.
Material: Ti2Tc2Ag
Method: DFT, PBE-GGA
State: relaxed

a b c (Å): 7.272 7.272 3.114
angles (deg): 90.00 90.00 90.00
Atoms (fractional coordinates):
Ti 0.189 0.311 0.000
Ti 0.311 0.811 0.000
Ti 0.689 0.189 0.000
Ti 0.811 0.689 0.000
Tc 0.118 0.618 0.500
Tc 0.382 0.118 0.500
Tc 0.618 0.882 0.500
Tc 0.882 0.382 0.500
Ag 0.000 0.000 0.500
Ag 0.500 0.500 0.500

Computed properties:
- symmetry = P4/mbm, No. 127
- crystal system = tetragonal
- formation enthalpy at 0 K (eV per formula unit) = 0.24

=====

9.
Material: TmTiTcAg
Method: DFT, PBE-GGA
State: relaxed

a b c (Å): 4.696 4.696 4.696
angles (deg): 60.00 60.00 60.00
Atoms (fractional coordinates):
Tm 0.000 0.000 0.000
Ti 0.500 0.500 0.500
Tc 0.750 0.750 0.750
Ag 0.250 0.250 0.250

Computed properties:
- symmetry = F-43m, No. 216
- crystal system = cubic
- formation enthalpy at 0 K (eV per formula unit) = -0.40

=====

10.
Material: Ti2VTcAg
Method: DFT, PBE-GGA
State: relaxed

a b c (Å): 4.365 4.365 4.814
angles (deg): 90.00 90.00 90.00
Atoms (fractional coordinates):
Ti 0.000 0.500 0.000
Ti 0.500 0.000 0.000
V 0.000 0.000 0.000
Tc 0.500 0.500 0.500
Ag 0.000 0.000 0.500

Computed properties:
- symmetry = P4/mmm, No. 123
- crystal system = tetragonal
- formation enthalpy at 0 K (eV per formula unit) = 5.72

=====

11.
Material: ZrTiTcAg
Method: DFT, PBE-GGA
State: relaxed

a b c (Å): 4.635 4.635 4.635
angles (deg): 60.00 60.00 60.00
Atoms (fractional coordinates):
Zr 0.000 0.000 0.000
Ti 0.500 0.500 0.500
Tc 0.250 0.250 0.250
Ag 0.750 0.750 0.750

Computed properties:
- symmetry = F-43m, No. 216
- crystal system = cubic
- formation enthalpy at 0 K (eV per formula unit) = -0.50

=====

12.
Material: TlTcAg
Method: DFT, PBE-GGA
State: relaxed

a b c (Å): 6.890 6.890 6.890
angles (deg): 155.29 155.29 35.23
Atoms (fractional coordinates):
Tl 0.000 0.000 0.000
Tc 0.337 0.337 0.000
Ag 0.684 0.684 0.000

Computed properties:
- symmetry = I4mm, No. 107
- crystal system = tetragonal
- formation enthalpy at 0 K (eV per formula unit) = 2.12

=====

13.
Material: TlTc2Ag
Method: DFT, PBE-GGA
State: relaxed

a b c (Å): 4.606 4.606 4.606
angles (deg): 60.00 60.00 60.00
Atoms (fractional coordinates):
Tl 0.000 0.000 0.000
Tc 0.250 0.250 0.250
Tc 0.500 0.500 0.500
Ag 0.750 0.750 0.750

Computed properties:
- symmetry = F-43m, No. 216
- crystal system = cubic
- formation enthalpy at 0 K (eV per formula unit) = 2.89

=====

14.
Material: TlTc2Ag
Method: DFT, PBE-GGA
State: relaxed

a b c (Å): 3.076 4.975 4.737
angles (deg): 90.00 92.16 90.00
Atoms (fractional coordinates):
Tl 0.000 0.000 0.000
Tc 0.179 0.500 0.281
Tc 0.821 0.500 0.719
Ag 0.500 0.000 0.500

Computed properties:
- symmetry = P2/m, No. 10
- crystal system = monoclinic
- formation enthalpy at 0 K (eV per formula unit) = 2.85

=====

15.
Material: TlTc2Ag
Method: DFT, PBE-GGA
State: relaxed

a b c (Å): 5.191 5.191 2.891
angles (deg): 90.00 90.00 116.86
Atoms (fractional coordinates):
Tl 0.000 0.000 0.000
Tc 0.000 0.500 0.500
Tc 0.500 0.000 0.500
Ag 0.500 0.500 0.000

Computed properties:
- symmetry = Cmmm, No. 65
- crystal system = orthorhombic
- formation enthalpy at 0 K (eV per formula unit) = 3.28

=====

16.
Material: TlTcAg4
Method: DFT, PBE-GGA
State: relaxed

a b c (Å): 5.534 5.534 5.534
angles (deg): 60.00 60.00 60.00
Atoms (fractional coordinates):
Tl 0.000 0.000 0.000
Tc 0.250 0.250 0.250
Ag 0.126 0.625 0.625
Ag 0.625 0.126 0.625
Ag 0.625 0.625 0.126
Ag 0.625 0.625 0.625

Computed properties:
- symmetry = F-43m, No. 216
- crystal system = cubic
- formation enthalpy at 0 K (eV per formula unit) = 3.57

=====

17.
Material: TlTc3Ag
Method: DFT, PBE-GGA
State: relaxed

a b c (Å): 4.932 4.932 4.932
angles (deg): 90.00 90.00 90.00
Atoms (fractional coordinates):
Tl 0.000 0.000 0.000
Tc 0.000 0.500 0.500
Tc 0.500 0.000 0.500
Tc 0.500 0.500 0.000
Ag 0.500 0.500 0.500

Computed properties:
- symmetry = Pm-3m, No. 221
- crystal system = cubic
- formation enthalpy at 0 K (eV per formula unit) = 11.33

=====

18.
Material: TlTc2Ag
Method: DFT, PBE-GGA
State: relaxed

a b c (Å): 4.811 4.811 5.147
angles (deg): 102.16 102.16 38.00
Atoms (fractional coordinates):
Tl 0.000 0.000 0.000
Tc 0.476 0.476 0.464
Tc 0.764 0.764 0.319
Ag 0.238 0.238 0.764

Computed properties:
- symmetry = Cm, No. 8
- crystal system = monoclinic
- formation enthalpy at 0 K (eV per formula unit) = 2.40

=====

19.
Material: TlTc2Ag
Method: DFT, PBE-GGA
State: relaxed

a b c (Å): 3.243 4.444 4.800
angles (deg): 90.00 90.00 90.00
Atoms (fractional coordinates):
Tl 0.000 0.000 0.000
Tc 0.000 0.500 0.500
Tc 0.500 0.000 0.500
Ag 0.500 0.500 0.000

Computed properties:
- symmetry = Pmmm, No. 47
- crystal system = orthorhombic
- formation enthalpy at 0 K (eV per formula unit) = 2.99

=====

20.
Material: TlTc2Ag
Method: DFT, PBE-GGA
State: relaxed

a b c (Å): 5.292 5.292 5.292
angles (deg): 136.69 136.69 62.91
Atoms (fractional coordinates):
Tl 0.000 0.000 0.000
Tc 0.250 0.750 0.500
Tc 0.750 0.250 0.500
Ag 0.500 0.500 0.000

Computed properties:
- symmetry = I4/mmm, No. 139
- crystal system = tetragonal
- formation enthalpy at 0 K (eV per formula unit) = 3.12